Here is crystalline Ho3MgGa at its relaxed geometry from the Alexandria database. Energies are from PBE.

Values from the calculation:
**E_form**: -255 meV per atom

Structure (CIF):
```
data_Ho3MgGa
_chemical_formula_sum 'Ho6 Mg2 Ga2'
_cell_length_a 5.076
_cell_length_b 5.067
_cell_length_c 10.378
_cell_angle_alpha 90.00
_cell_angle_beta 75.85
_cell_angle_gamma 90.00
_symmetry_space_group_name_H-M 'P 1'
_symmetry_Int_Tables_number 1
_symmetry_space_group_name_Hall 'P 1'
loop_
_atom_site_label
_atom_site_type_symbol
_atom_site_fract_x
_atom_site_fract_y
_atom_site_fract_z
Ho1 Ho 0.073 0.750 0.502
Ga1 Ga 0.164 0.250 0.320
Ho2 Ho 0.575 0.250 0.498
Ho3 Ho 0.763 0.250 0.123
Mg1 Mg 0.668 0.750 0.313
Ho4 Ho 0.389 0.250 0.871
Ga2 Ga 0.484 0.750 0.680
Ho5 Ho 0.260 0.750 0.129
Mg2 Mg 0.981 0.250 0.687
Ho6 Ho 0.886 0.750 0.877
```

***

Here is crystalline CeFe3Ge5 at its relaxed geometry from the Alexandria database. Energies are from PBE.

Values from the calculation:
**E_form**: -120 meV per atom

Structure (CIF):
```
data_CeFe3Ge5
_chemical_formula_sum 'Ce2 Fe6 Ge10'
_cell_length_a 6.696
_cell_length_b 6.696
_cell_length_c 8.654
_cell_angle_alpha 66.40
_cell_angle_beta 66.40
_cell_angle_gamma 75.03
_symmetry_space_group_name_H-M 'P 1'
_symmetry_Int_Tables_number 1
_symmetry_space_group_name_Hall 'P 1'
loop_
_atom_site_label
_atom_site_type_symbol
_atom_site_fract_x
_atom_site_fract_y
_atom_site_fract_z
Ge1 Ge 0.929 0.376 0.331
Fe1 Fe 0.299 0.299 0.200
Ge2 Ge 0.759 0.759 0.028
Fe2 Fe 0.358 0.358 0.663
Fe3 Fe 0.000 0.000 0.000
Fe4 Fe 0.000 0.000 0.500
Ge3 Ge 0.624 0.071 0.669
Ge4 Ge 0.312 0.688 0.000
Fe5 Fe 0.642 0.642 0.337
Fe6 Fe 0.701 0.701 0.800
Ce1 Ce 0.103 0.103 0.689
Ge5 Ge 0.241 0.241 0.972
Ge6 Ge 0.579 0.579 0.645
Ge7 Ge 0.421 0.421 0.355
Ge8 Ge 0.071 0.624 0.669
Ge9 Ge 0.688 0.312 0.000
Ce2 Ce 0.897 0.897 0.311
Ge10 Ge 0.376 0.929 0.331
```

***

Here is crystalline NbP2IrS at its relaxed geometry from the Alexandria database. Energies are from PBE.

Values from the calculation:
**Relative energy among the computed polymorphs**: 0.2620 eV/atom
**Uncorrected formation energy**: 1036 meV/atom

Structure (CIF):
```
data_NbP2IrS
_chemical_formula_sum 'Nb1 P2 Ir1 S1'
_cell_length_a 4.798
_cell_length_b 4.798
_cell_length_c 4.609
_cell_angle_alpha 90.00
_cell_angle_beta 90.00
_cell_angle_gamma 90.00
_symmetry_space_group_name_H-M 'P 1'
_symmetry_Int_Tables_number 1
_symmetry_space_group_name_Hall 'P 1'
loop_
_atom_site_label
_atom_site_type_symbol
_atom_site_fract_x
_atom_site_fract_y
_atom_site_fract_z
P1 P 0.000 0.500 0.000
Ir1 Ir 0.500 0.500 0.500
Nb1 Nb 0.000 0.000 0.000
P2 P 0.500 0.000 0.000
S1 S 0.000 0.000 0.500
```

***

D(E_F) (states/eV per cell)
9.9; 11.9; 5.4